1.
# PmMgCo4, relaxed, DFT PBE
data_PmMgCo4
_chemical_formula_sum 'Pm4 Mg4 Co16'
_space_group_name_H-M_alt 'F -4 3 m'
_space_group_IT_number 216
_space_group_name_Hall 'F -4 2 3'
_cell_length_a 7.0952
_cell_length_b 7.0952
_cell_length_c 7.0952
_cell_angle_alpha 90.00
_cell_angle_beta 90.00
_cell_angle_gamma 90.00
loop_
_atom_site_label
_atom_site_type_symbol
_atom_site_fract_x
_atom_site_fract_y
_atom_site_fract_z
Pm1 Pm 0.0000 0.0000 0.0000
Mg1 Mg 0.2500 0.2500 0.7500
Co1 Co 0.1241 0.1241 0.3759
# DFT total energy (eV/atom): -5.873
# ΔE_f (eV/atom): -0.0782

2.
# Pm6MgCo2, relaxed, DFT PBE
data_Pm6MgCo2
_chemical_formula_sum 'Pm12 Mg2 Co4'
_space_group_name_H-M_alt 'C 1 2/m 1'
_space_group_IT_number 12
_cell_length_a 10.3930
_cell_length_b 5.1192
_cell_length_c 9.2545
_cell_angle_alpha 90.00
_cell_angle_beta 102.69
_cell_angle_gamma 90.00
loop_
_space_group_symop_operation_xyz
'x,y,z'
'-x,-y,-z'
'-x,y,-z'
'x,-y,z'
'x+1/2,y+1/2,z'
'-x+1/2,-y+1/2,-z'
'-x+1/2,y+1/2,-z'
'x+1/2,-y+1/2,z'
loop_
_atom_site_label
_atom_site_type_symbol
_atom_site_fract_x
_atom_site_fract_y
_atom_site_fract_z
Pm1 Pm 0.0337 0.0000 0.3506
Pm2 Pm 0.1632 0.5000 0.8713
Pm3 Pm 0.2076 0.5000 0.3380
Mg1 Mg 0.0000 0.0000 0.0000
Co1 Co 0.1105 0.5000 0.5847
# DFT total energy (eV/atom): -4.910
# Distance to the lowest polymorph of the same formula (meV per atom): 99
# ΔE_f (eV/atom): 0.0130

3.
# Pm3MgCo, relaxed, DFT PBE
data_Pm3MgCo
_chemical_formula_sum 'Pm12 Mg4 Co4'
_space_group_name_H-M_alt 'C 1 2/m 1'
_space_group_IT_number 12
_cell_length_a 12.1414
_cell_length_b 5.5799
_cell_length_c 9.1172
_cell_angle_alpha 90.00
_cell_angle_beta 113.03
_cell_angle_gamma 90.00
loop_
_space_group_symop_operation_xyz
'x,y,z'
'-x,-y,-z'
'-x,y,-z'
'x,-y,z'
'x+1/2,y+1/2,z'
'-x+1/2,-y+1/2,-z'
'-x+1/2,y+1/2,-z'
'x+1/2,-y+1/2,z'
loop_
_atom_site_label
_atom_site_type_symbol
_atom_site_fract_x
_atom_site_fract_y
_atom_site_fract_z
Pm1 Pm 0.1101 0.0000 0.2257
Pm2 Pm 0.1252 0.5000 0.9230
Pm3 Pm 0.1518 0.0000 0.6594
Mg1 Mg 0.1025 0.5000 0.4471
Co1 Co 0.1307 0.0000 0.9396
# DFT total energy (eV/atom): -4.630
# Distance to the lowest polymorph of the same formula (meV per atom): 10
# ΔE_f (eV/atom): -0.0392

4.
# Pm2MgCo, relaxed, DFT PBE
data_Pm2MgCo
_chemical_formula_sum 'Pm2 Mg1 Co1'
_space_group_name_H-M_alt 'P 4/m m m'
_space_group_IT_number 123
_space_group_name_Hall '-P 4 2'
_cell_length_a 3.4896
_cell_length_b 3.4896
_cell_length_c 8.2439
_cell_angle_alpha 90.00
_cell_angle_beta 90.00
_cell_angle_gamma 90.00
loop_
_atom_site_label
_atom_site_type_symbol
_atom_site_fract_x
_atom_site_fract_y
_atom_site_fract_z
Pm1 Pm 0.0000 0.0000 0.2034
Mg1 Mg 0.5000 0.5000 0.5000
Co1 Co 0.5000 0.5000 0.0000
# DFT total energy (eV/atom): -4.599
# Distance to the lowest polymorph of the same formula (meV per atom): 55
# ΔE_f (eV/atom): -0.0484

5.
# Pm3Mg3Co2, relaxed, DFT PBE
data_Pm3Mg3Co2
_chemical_formula_sum 'Pm6 Mg6 Co4'
_space_group_name_H-M_alt 'C 1 2/m 1'
_space_group_IT_number 12
_cell_length_a 20.4404
_cell_length_b 3.7378
_cell_length_c 5.3814
_cell_angle_alpha 90.00
_cell_angle_beta 98.54
_cell_angle_gamma 90.00
loop_
_space_group_symop_operation_xyz
'x,y,z'
'-x,-y,-z'
'-x,y,-z'
'x,-y,z'
'x+1/2,y+1/2,z'
'-x+1/2,-y+1/2,-z'
'-x+1/2,y+1/2,-z'
'x+1/2,-y+1/2,z'
loop_
_atom_site_label
_atom_site_type_symbol
_atom_site_fract_x
_atom_site_fract_y
_atom_site_fract_z
Pm1 Pm 0.0000 0.0000 0.0000
Pm2 Pm 0.1378 0.0000 0.5712
Mg1 Mg 0.0000 0.5000 0.5000
Mg2 Mg 0.1941 0.5000 0.0906
Co1 Co 0.2368 0.5000 0.6024
# DFT total energy (eV/atom): -4.119
# Distance to the lowest polymorph of the same formula (meV per atom): 93
# ΔE_f (eV/atom): 0.0365

6.
# Pm8MgCo2, relaxed, DFT PBE
data_Pm8MgCo2
_chemical_formula_sum 'Pm16 Mg2 Co4'
_space_group_name_H-M_alt 'C 1 2/m 1'
_space_group_IT_number 12
_cell_length_a 8.5873
_cell_length_b 13.8031
_cell_length_c 5.5585
_cell_angle_alpha 90.00
_cell_angle_beta 102.31
_cell_angle_gamma 90.00
loop_
_space_group_symop_operation_xyz
'x,y,z'
'-x,-y,-z'
'-x,y,-z'
'x,-y,z'
'x+1/2,y+1/2,z'
'-x+1/2,-y+1/2,-z'
'-x+1/2,y+1/2,-z'
'x+1/2,-y+1/2,z'
loop_
_atom_site_label
_atom_site_type_symbol
_atom_site_fract_x
_atom_site_fract_y
_atom_site_fract_z
Pm1 Pm 0.0000 0.2465 0.0000
Pm2 Pm 0.0992 0.0000 0.7953
Pm3 Pm 0.2058 0.3706 0.5625
Mg1 Mg 0.0000 0.5000 0.0000
Co1 Co 0.0000 0.2042 0.5000
# DFT total energy (eV/atom): -4.868
# ΔE_f (eV/atom): 0.0243

7.
# Pm5MgCo, relaxed, DFT PBE
data_Pm5MgCo
_chemical_formula_sum 'Pm20 Mg4 Co4'
_space_group_name_H-M_alt 'C 1 2/c 1'
_space_group_IT_number 15
_cell_length_a 12.6699
_cell_length_b 8.3961
_cell_length_c 10.5816
_cell_angle_alpha 90.00
_cell_angle_beta 121.97
_cell_angle_gamma 90.00
loop_
_space_group_symop_operation_xyz
'x,y,z'
'-x,-y,-z'
'-x,y,-z+1/2'
'x,-y,z+1/2'
'x+1/2,y+1/2,z'
'-x+1/2,-y+1/2,-z'
'-x+1/2,y+1/2,-z+1/2'
'x+1/2,-y+1/2,z+1/2'
loop_
_atom_site_label
_atom_site_type_symbol
_atom_site_fract_x
_atom_site_fract_y
_atom_site_fract_z
Pm1 Pm 0.0000 0.0298 0.2500
Pm2 Pm 0.0451 0.3274 0.4668
Pm3 Pm 0.2362 0.0271 0.1482
Mg1 Mg 0.0000 0.3367 0.7500
Co1 Co 0.0000 0.0000 0.0000
# DFT total energy (eV/atom): -4.371
# ΔE_f (eV/atom): 0.2654

8.
# Pm2Mg3Co2, relaxed, DFT PBE
data_Pm2Mg3Co2
_chemical_formula_sum 'Pm4 Mg6 Co4'
_space_group_name_H-M_alt 'C 1 2/m 1'
_space_group_IT_number 12
_cell_length_a 10.3176
_cell_length_b 4.2200
_cell_length_c 7.0924
_cell_angle_alpha 90.00
_cell_angle_beta 99.21
_cell_angle_gamma 90.00
loop_
_space_group_symop_operation_xyz
'x,y,z'
'-x,-y,-z'
'-x,y,-z'
'x,-y,z'
'x+1/2,y+1/2,z'
'-x+1/2,-y+1/2,-z'
'-x+1/2,y+1/2,-z'
'x+1/2,-y+1/2,z'
loop_
_atom_site_label
_atom_site_type_symbol
_atom_site_fract_x
_atom_site_fract_y
_atom_site_fract_z
Pm1 Pm 0.1277 0.0000 0.3638
Mg1 Mg 0.0000 0.5000 0.0000
Mg2 Mg 0.1802 0.0000 0.8563
Co1 Co 0.0728 0.5000 0.6365
# DFT total energy (eV/atom): -4.155
# ΔE_f (eV/atom): -0.0837

9.
# Pm2MgCo, relaxed, DFT PBE
data_Pm2MgCo
_chemical_formula_sum 'Pm8 Mg4 Co4'
_space_group_name_H-M_alt 'C 1 2/m 1'
_space_group_IT_number 12
_cell_length_a 13.6432
_cell_length_b 3.7686
_cell_length_c 7.9777
_cell_angle_alpha 90.00
_cell_angle_beta 95.14
_cell_angle_gamma 90.00
loop_
_space_group_symop_operation_xyz
'x,y,z'
'-x,-y,-z'
'-x,y,-z'
'x,-y,z'
'x+1/2,y+1/2,z'
'-x+1/2,-y+1/2,-z'
'-x+1/2,y+1/2,-z'
'x+1/2,-y+1/2,z'
loop_
_atom_site_label
_atom_site_type_symbol
_atom_site_fract_x
_atom_site_fract_y
_atom_site_fract_z
Pm1 Pm 0.0380 0.0000 0.2973
Pm2 Pm 0.2297 0.0000 0.6833
Mg1 Mg 0.1191 0.5000 0.9533
Co1 Co 0.0954 0.5000 0.5757
# DFT total energy (eV/atom): -4.653
# Distance to the lowest polymorph of the same formula (meV per atom): 0
# ΔE_f (eV/atom): -0.1031

10.
# PmMgCo, relaxed, DFT PBE
data_PmMgCo
_chemical_formula_sum 'Pm4 Mg4 Co4'
_space_group_name_H-M_alt 'F -4 3 m'
_space_group_IT_number 216
_space_group_name_Hall 'F -4 2 3'
_cell_length_a 6.5053
_cell_length_b 6.5053
_cell_length_c 6.5053
_cell_angle_alpha 90.00
_cell_angle_beta 90.00
_cell_angle_gamma 90.00
loop_
_atom_site_label
_atom_site_type_symbol
_atom_site_fract_x
_atom_site_fract_y
_atom_site_fract_z
Pm1 Pm 0.0000 0.0000 0.0000
Mg1 Mg 0.0000 0.0000 0.5000
Co1 Co 0.2500 0.2500 0.2500
# DFT total energy (eV/atom): -4.374
# Distance to the lowest polymorph of the same formula (meV per atom): 222
# ΔE_f (eV/atom): 0.1098

11.
# Pm6MgCo2, relaxed, DFT PBE
data_Pm6MgCo2
_chemical_formula_sum 'Pm24 Mg4 Co8'
_space_group_name_H-M_alt 'I m m m'
_space_group_IT_number 71
_space_group_name_Hall '-I 2 2'
_cell_length_a 9.5904
_cell_length_b 9.9610
_cell_length_c 10.2493
_cell_angle_alpha 90.00
_cell_angle_beta 90.00
_cell_angle_gamma 90.00
loop_
_atom_site_label
_atom_site_type_symbol
_atom_site_fract_x
_atom_site_fract_y
_atom_site_fract_z
Pm1 Pm 0.0000 0.2042 0.2342
Pm2 Pm 0.1851 0.5000 0.1801
Pm3 Pm 0.2150 0.3171 0.5000
Mg1 Mg 0.0000 0.0000 0.0000
Mg2 Mg 0.0000 0.0000 0.5000
Co1 Co 0.0000 0.3265 0.0000
Co2 Co 0.0000 0.5000 0.3882
# DFT total energy (eV/atom): -5.009
# Distance to the lowest polymorph of the same formula (meV per atom): 0
# ΔE_f (eV/atom): -0.0860

12.
# Pm5Mg2Co4, relaxed, DFT PBE
data_Pm5Mg2Co4
_chemical_formula_sum 'Pm10 Mg4 Co8'
_space_group_name_H-M_alt 'C 1 2/m 1'
_space_group_IT_number 12
_cell_length_a 10.7965
_cell_length_b 7.0366
_cell_length_c 7.1790
_cell_angle_alpha 90.00
_cell_angle_beta 110.44
_cell_angle_gamma 90.00
loop_
_space_group_symop_operation_xyz
'x,y,z'
'-x,-y,-z'
'-x,y,-z'
'x,-y,z'
'x+1/2,y+1/2,z'
'-x+1/2,-y+1/2,-z'
'-x+1/2,y+1/2,-z'
'x+1/2,-y+1/2,z'
loop_
_atom_site_label
_atom_site_type_symbol
_atom_site_fract_x
_atom_site_fract_y
_atom_site_fract_z
Pm1 Pm 0.0000 0.0000 0.0000
Pm2 Pm 0.1821 0.2528 0.7000
Mg1 Mg 0.0502 0.5000 0.2157
Co1 Co 0.0641 0.0000 0.3963
Co2 Co 0.2078 0.5000 0.9984
# DFT total energy (eV/atom): -4.998
# ΔE_f (eV/atom): 0.0355

Number 1: total magnetic moment 19.23 μB/cell. Number 2: total magnetic moment 0.00 μB/cell. Number 3: total magnetic moment 0.00 μB/cell. Number 4: total magnetic moment 0.87 μB/cell. Number 5: total magnetic moment 1.62 μB/cell. Number 6: total magnetic moment 0.00 μB/cell. Number 7: total magnetic moment 0.00 μB/cell. Number 8: total magnetic moment 1.70 μB/cell. Number 9: total magnetic moment 0.00 μB/cell. Number 10: total magnetic moment 0.00 μB/cell. Number 11: total magnetic moment 0.00 μB/cell. Number 12: total magnetic moment 1.79 μB/cell.